Entry 1:
# CaTe2Pb2

CaTe2Pb2 after structural relaxation (PBE, Alexandria).

Results
formation energy without anion corrections	-0.47	eV per atom
DOS at the Fermi energy	0.452	states/eV per atom
total energy	-18.0	eV/f.u.
magnetic moment	0.000	μB per atom
offset from the most stable computed form	0	meV/atom

Geometry as CIF:
```
data_CaTe2Pb2
_symmetry_space_group_name_H-M 'P 1'
_symmetry_Int_Tables_number 1
_symmetry_space_group_name_Hall 'P 1'
_cell_length_a 9.378
_cell_length_b 9.378
_cell_length_c 9.378
_cell_angle_alpha 152.97
_cell_angle_beta 152.97
_cell_angle_gamma 38.60
loop_
_atom_site_label
_atom_site_type_symbol
_atom_site_fract_x
_atom_site_fract_y
_atom_site_fract_z
_atom_site_occupancy
Ca1 Ca 0.000 0.000 0.000 1
Te1 Te 0.408 0.408 0.000 1
Te2 Te 0.592 0.592 0.000 1
Pb1 Pb 0.250 0.750 0.500 1
Pb2 Pb 0.750 0.250 0.500 1
```

Entry 2:
# CaTe2Pb

CaTe2Pb after structural relaxation (PBE, Alexandria).

Results
formation energy without anion corrections	-0.93	eV per atom
total energy	-15.7	eV/f.u.
magnetic moment	0.000	μB per atom

Geometry as CIF:
```
data_CaTe2Pb
_symmetry_space_group_name_H-M 'P 1'
_symmetry_Int_Tables_number 1
_symmetry_space_group_name_Hall 'P 1'
_cell_length_a 4.755
_cell_length_b 6.760
_cell_length_c 6.760
_cell_angle_alpha 38.04
_cell_angle_beta 90.00
_cell_angle_gamma 90.00
loop_
_atom_site_label
_atom_site_type_symbol
_atom_site_fract_x
_atom_site_fract_y
_atom_site_fract_z
_atom_site_occupancy
Ca1 Ca 0.000 0.000 0.000 1
Te1 Te 0.000 0.748 0.748 1
Te2 Te 0.500 0.492 0.492 1
Pb1 Pb 0.500 0.256 0.256 1
```

Entry 3:
# CaTe2Pb

CaTe2Pb after structural relaxation (PBE, Alexandria).

Results
formation energy without anion corrections	-0.94	eV per atom
DOS at the Fermi energy	0.000	states/eV per atom
total energy	-15.7	eV/f.u.
magnetic moment	0.000	μB per atom

Geometry as CIF:
```
data_CaTe2Pb
_symmetry_space_group_name_H-M 'P 1'
_symmetry_Int_Tables_number 1
_symmetry_space_group_name_Hall 'P 1'
_cell_length_a 8.338
_cell_length_b 8.338
_cell_length_c 8.338
_cell_angle_alpha 31.26
_cell_angle_beta 31.26
_cell_angle_gamma 31.26
loop_
_atom_site_label
_atom_site_type_symbol
_atom_site_fract_x
_atom_site_fract_y
_atom_site_fract_z
_atom_site_occupancy
Ca1 Ca 0.000 0.000 0.000 1
Te1 Te 0.586 0.586 0.586 1
Te2 Te 0.750 0.750 0.750 1
Pb1 Pb 0.168 0.168 0.168 1
```